FeSi2Hg: optimized geometry, PBE.

Cell lengths 2.659, 4.709, 10.630 Å; angles 90.00, 90.00, 90.00 degrees
Space group Immm (No. 71)
One atom of each set of equivalent atoms:
1 Fe 0.000 0.000 0.000
2 Si 0.000 0.500 0.312
3 Hg 0.000 0.000 0.500

**Mass density**: 7.8 g/cm3
**Energy relative to the elements, uncorrected**: 8.53 kcal/mol of atoms
**E_tot**: -0.3331 Ry per atom

FeSiHg: optimized geometry, PBE.

Cell lengths 2.9951, 2.9951, 6.2969 Å; angles 90.00, 90.00, 120.00 degrees
Space group P3m1 (No. 156)
One atom of each set of equivalent atoms:
1 Fe 0.0000 0.0000 0.0000
2 Si 0.3333 0.6667 0.7554
3 Hg 0.6667 0.3333 0.3556

**Relative energy among the computed polymorphs**: 0.091 eV/atom
**Mass density**: 9.7 g/cm3
**Energy relative to the elements, uncorrected**: 7.89 kcal/mol of atoms
**E_tot**: -0.3224 Ry per atom

FeSi2Hg: optimized geometry, PBE.

Cell lengths 3.647, 3.647, 4.849 Å; angles 90.00, 90.00, 90.00 degrees
Space group P4mm (No. 99)
One atom of each set of equivalent atoms:
1 Fe 0.000 0.000 0.000
2 Si 0.000 0.500 0.735
3 Hg 0.500 0.500 0.284

**Mass density**: 8.0 g/cm3
**Energy relative to the elements, uncorrected**: 6.88 kcal/mol of atoms
**E_tot**: -0.3384 Ry per atom

FeSi2Hg: optimized geometry, PBE.

Cell lengths 2.708, 3.783, 12.748 Å; angles 90.00, 90.00, 90.00 degrees
Space group Imm2 (No. 44)
One atom of each set of equivalent atoms:
1 Fe 0.000 0.000 0.000
2 Si 0.000 0.000 0.515
3 Si 0.000 0.500 0.352
4 Hg 0.000 0.500 0.703

**Mass density**: 7.9 g/cm3
**Energy relative to the elements, uncorrected**: 3.12 kcal/mol of atoms
**E_tot**: -0.3504 Ry per atom

FeSiHg3: optimized geometry, PBE.

Cell lengths 5.105, 5.105, 5.105 Å; angles 90.00, 90.00, 90.00 degrees
Space group Pm-3m (No. 221)
One atom of each set of equivalent atoms:
1 Fe 0.000 0.000 0.000
2 Si 0.500 0.500 0.500
3 Hg 0.000 0.500 0.500

**Relative energy among the computed polymorphs**: 0.059 eV/atom
**Mass density**: 8.6 g/cm3
**Energy relative to the elements, uncorrected**: 21.03 kcal/mol of atoms
**E_tot**: -0.1504 Ry per atom

FeSi4Hg: optimized geometry, PBE.

Cell lengths 7.269, 7.269, 7.269 Å; angles 90.00, 90.00, 90.00 degrees
Space group F-43m (No. 216)
One atom of each set of equivalent atoms:
1 Fe 0.000 0.000 0.000
2 Si 0.126 0.126 0.374
3 Hg 0.250 0.250 0.750

**Mass density**: 6.4 g/cm3
**Energy relative to the elements, uncorrected**: 14.91 kcal/mol of atoms
**E_tot**: -0.3256 Ry per atom

FeSi2Hg: optimized geometry, PBE.

Cell lengths 2.775, 2.809, 8.013 Å; angles 90.00, 90.10, 90.00 degrees
Space group P2/m (No. 10)
One atom of each set of equivalent atoms:
1 Fe 0.000 0.000 0.000
2 Si 0.499 0.500 0.827
3 Hg 0.500 0.000 0.500

**Mass density**: 8.3 g/cm3
**Energy relative to the elements, uncorrected**: 1.51 kcal/mol of atoms
**E_tot**: -0.3555 Ry per atom

FeSiHg: optimized geometry, PBE.

Cell lengths 5.934, 5.934, 5.934 Å; angles 90.00, 90.00, 90.00 degrees
Space group F-43m (No. 216)
One atom of each set of equivalent atoms:
1 Fe 0.000 0.000 0.000
2 Si 0.250 0.250 0.250
3 Hg 0.000 0.000 0.500

**Relative energy among the computed polymorphs**: 0.238 eV/atom
**Mass density**: 9.0 g/cm3
**Energy relative to the elements, uncorrected**: 11.29 kcal/mol of atoms
**E_tot**: -0.3116 Ry per atom

FeSiHg3: optimized geometry, PBE.

Cell lengths 5.035, 5.035, 5.035 Å; angles 90.00, 90.00, 90.00 degrees
Space group Pm-3m (No. 221)
One atom of each set of equivalent atoms:
1 Fe 0.000 0.000 0.000
2 Si 0.500 0.500 0.500
3 Hg 0.000 0.000 0.500

**Relative energy among the computed polymorphs**: 0.000 eV/atom
**Mass density**: 8.9 g/cm3
**Energy relative to the elements, uncorrected**: 19.67 kcal/mol of atoms
**E_tot**: -0.1547 Ry per atom

FeSi2Hg: optimized geometry, PBE.

Cell lengths 2.799, 2.799, 8.372 Å; angles 90.00, 90.00, 90.00 degrees
Space group P4/mmm (No. 123)
One atom of each set of equivalent atoms:
1 Fe 0.000 0.000 0.000
2 Si 0.500 0.500 0.165
3 Hg 0.000 0.000 0.500

**Mass density**: 7.9 g/cm3
**Energy relative to the elements, uncorrected**: 3.48 kcal/mol of atoms
**E_tot**: -0.3492 Ry per atom

FeSi2Hg: optimized geometry, PBE.

Cell lengths 4.172, 4.172, 15.906 Å; angles 90.00, 90.00, 90.00 degrees
Space group I-42d (No. 122)
One atom of each set of equivalent atoms:
1 Fe 0.000 0.000 0.000
2 Si 0.165 0.250 0.125
3 Hg 0.000 0.000 0.500

**Mass density**: 7.5 g/cm3
**Energy relative to the elements, uncorrected**: 8.53 kcal/mol of atoms
**E_tot**: -0.3332 Ry per atom

FeSiHg: optimized geometry, PBE.

Cell lengths 3.044, 3.044, 9.999 Å; angles 90.00, 90.00, 90.00 degrees
Space group I4mm (No. 107)
One atom of each set of equivalent atoms:
1 Fe 0.000 0.000 0.000
2 Si 0.000 0.000 0.419
3 Hg 0.000 0.000 0.703

**Relative energy among the computed polymorphs**: 0.000 eV/atom
**Mass density**: 10.2 g/cm3
**Energy relative to the elements, uncorrected**: 5.79 kcal/mol of atoms
**E_tot**: -0.3291 Ry per atom

FeSi2Hg: optimized geometry, PBE.

Cell lengths 6.425, 6.425, 6.425 Å; angles 90.00, 90.00, 90.00 degrees
Space group F-43m (No. 216)
One atom of each set of equivalent atoms:
1 Fe 0.000 0.000 0.000
2 Si 0.000 0.000 0.500
3 Si 0.250 0.250 0.750
4 Hg 0.250 0.250 0.250

**Mass density**: 7.8 g/cm3
**Energy relative to the elements, uncorrected**: 16.81 kcal/mol of atoms
**E_tot**: -0.3068 Ry per atom

FeSi2Hg: optimized geometry, PBE.

Cell lengths 8.033, 2.824, 6.386 Å; angles 90.00, 110.03, 90.00 degrees
Space group Cm (No. 8)
One atom of each set of equivalent atoms:
1 Fe 0.000 0.000 0.000
2 Si 0.033 0.500 0.287
3 Si 0.215 0.500 0.980
4 Hg 0.372 0.000 0.596

**Mass density**: 7.6 g/cm3
**Energy relative to the elements, uncorrected**: 3.33 kcal/mol of atoms
**E_tot**: -0.3497 Ry per atom

FeSi2Hg: optimized geometry, PBE.

Cell lengths 2.9805, 2.9805, 24.3845 Å; angles 90.00, 90.00, 120.00 degrees
Space group R-3m (No. 166, hexagonal axes)
One atom of each set of equivalent atoms:
1 Fe 0.0000 0.0000 0.0000
2 Si 0.0000 0.0000 0.2674
3 Hg 0.0000 0.0000 0.5000

**Mass density**: 8.3 g/cm3
**Energy relative to the elements, uncorrected**: 4.44 kcal/mol of atoms
**E_tot**: -0.3462 Ry per atom

FeSi2Hg: optimized geometry, PBE.

Cell lengths 3.977, 3.977, 7.958 Å; angles 90.00, 90.00, 90.00 degrees
Space group I4/mmm (No. 139)
One atom of each set of equivalent atoms:
1 Fe 0.000 0.000 0.000
2 Si 0.000 0.500 0.250
3 Hg 0.000 0.000 0.500

**Mass density**: 8.2 g/cm3
**Energy relative to the elements, uncorrected**: 13.02 kcal/mol of atoms
**E_tot**: -0.3188 Ry per atom

Fe2SiHg2: optimized geometry, PBE.

Cell lengths 8.030, 8.030, 2.789 Å; angles 90.00, 90.00, 90.00 degrees
Space group P4/mbm (No. 127)
One atom of each set of equivalent atoms:
1 Fe 0.104 0.396 0.000
2 Si 0.000 0.000 0.500
3 Hg 0.189 0.689 0.500

**Relative energy among the computed polymorphs**: 0.000 eV/atom
**Mass density**: 10.0 g/cm3
**Energy relative to the elements, uncorrected**: 14.38 kcal/mol of atoms
**E_tot**: -0.2915 Ry per atom

FeSiHgTe2: optimized geometry, PBE.

Cell lengths 5.637, 5.637, 4.883 Å; angles 90.00, 90.00, 90.00 degrees
Space group P4/mmm (No. 123)
One atom of each set of equivalent atoms:
1 Fe 0.000 0.000 0.000
2 Si 0.500 0.500 0.000
3 Hg 0.000 0.000 0.500
4 Te 0.000 0.500 0.500

**Mass density**: 5.8 g/cm3
**Energy relative to the elements, uncorrected**: 29.21 kcal/mol of atoms
**E_tot**: -0.2078 Ry per atom

TlFe2SiHg: optimized geometry, PBE.

Cell lengths 4.944, 4.944, 5.460 Å; angles 90.00, 90.00, 90.00 degrees
Space group P4/mmm (No. 123)
One atom of each set of equivalent atoms:
1 Tl 0.000 0.000 0.000
2 Fe 0.000 0.500 0.500
3 Si 0.500 0.500 0.000
4 Hg 0.000 0.000 0.500

**Mass density**: 6.8 g/cm3
**Energy relative to the elements, uncorrected**: 35.80 kcal/mol of atoms
**E_tot**: -0.2536 Ry per atom

VFe2SiHg: optimized geometry, PBE.

Cell lengths 4.171, 4.171, 5.137 Å; angles 90.00, 90.00, 90.00 degrees
Space group P4/mmm (No. 123)
One atom of each set of equivalent atoms:
1 V 0.000 0.000 0.000
2 Fe 0.000 0.500 0.000
3 Si 0.500 0.500 0.500
4 Hg 0.000 0.000 0.500

**Mass density**: 7.3 g/cm3
**Energy relative to the elements, uncorrected**: 32.40 kcal/mol of atoms
**E_tot**: -0.3637 Ry per atom